i) # HRuS2Cl (PBE-GGA, optimized geometry)
data_HRuS2Cl
_space_group_name_H-M_alt 'P 4/m m m'
_space_group_IT_number 123
_space_group_name_Hall '-P 4 2'
_cell_length_a 3.6427
_cell_length_b 3.6427
_cell_length_c 6.0170
_cell_angle_alpha 90.00
_cell_angle_beta 90.00
_cell_angle_gamma 90.00
loop_
_atom_site_label
_atom_site_fract_x
_atom_site_fract_y
_atom_site_fract_z
H1 0.0000 0.0000 0.0000
Ru1 0.5000 0.5000 0.5000
S1 0.0000 0.5000 0.0000
Cl1 0.0000 0.0000 0.5000
# M_tot in μB per atom: 0.640
# Calculated density in g cm⁻³: 4.2
# Calculated volume in Å³ per cell: 80


ii) # HRuS2Cl (PBE-GGA, optimized geometry)
data_HRuS2Cl
_space_group_name_H-M_alt 'P 4/m m m'
_space_group_IT_number 123
_space_group_name_Hall '-P 4 2'
_cell_length_a 4.5003
_cell_length_b 4.5003
_cell_length_c 5.1476
_cell_angle_alpha 90.00
_cell_angle_beta 90.00
_cell_angle_gamma 90.00
loop_
_atom_site_label
_atom_site_fract_x
_atom_site_fract_y
_atom_site_fract_z
H1 0.0000 0.0000 0.0000
Ru1 0.5000 0.5000 0.5000
S1 0.0000 0.5000 0.5000
Cl1 0.5000 0.5000 0.0000
# M_tot in μB per atom: 0.127
# Calculated density in g cm⁻³: 3.2
# Calculated volume in Å³ per cell: 104


Which of them is most stable, and which least? Most stable: ii); least stable: i).


i) # HRuSCl2 (PBE-GGA, optimized geometry)
data_HRuSCl2
_space_group_name_H-M_alt 'P 4/m m m'
_space_group_IT_number 123
_space_group_name_Hall '-P 4 2'
_cell_length_a 5.0418
_cell_length_b 5.0418
_cell_length_c 3.1902
_cell_angle_alpha 90.00
_cell_angle_beta 90.00
_cell_angle_gamma 90.00
loop_
_atom_site_label
_atom_site_fract_x
_atom_site_fract_y
_atom_site_fract_z
H1 0.0000 0.0000 0.0000
Ru1 0.5000 0.5000 0.5000
S1 0.0000 0.0000 0.5000
Cl1 0.0000 0.5000 0.0000
# M_tot in μB per atom: 0.804
# Calculated density in g cm⁻³: 4.2
# Calculated volume in Å³ per cell: 81


ii) # HRuSCl2 (PBE-GGA, optimized geometry)
data_HRuSCl2
_space_group_name_H-M_alt 'P 4/m m m'
_space_group_IT_number 123
_space_group_name_Hall '-P 4 2'
_cell_length_a 4.9497
_cell_length_b 4.9497
_cell_length_c 4.3752
_cell_angle_alpha 90.00
_cell_angle_beta 90.00
_cell_angle_gamma 90.00
loop_
_atom_site_label
_atom_site_fract_x
_atom_site_fract_y
_atom_site_fract_z
H1 0.0000 0.0000 0.0000
Ru1 0.5000 0.5000 0.5000
S1 0.5000 0.5000 0.0000
Cl1 0.0000 0.5000 0.5000
# M_tot in μB per atom: 0.258
# Calculated density in g cm⁻³: 3.2
# Calculated volume in Å³ per cell: 107


Which of them is most stable, and which least? Most stable: ii); least stable: i).


i) # H7S2Cl2 (PBE-GGA, optimized geometry)
data_H7S2Cl2
_space_group_name_H-M_alt 'P 1 21/c 1'
_space_group_IT_number 14
_cell_length_a 4.6223
_cell_length_b 11.1148
_cell_length_c 8.3204
_cell_angle_alpha 90.00
_cell_angle_beta 114.43
_cell_angle_gamma 90.00
loop_
_space_group_symop_operation_xyz
'x,y,z'
'-x,-y,-z'
'-x,y+1/2,-z+1/2'
'x,-y+1/2,z+1/2'
loop_
_atom_site_label
_atom_site_fract_x
_atom_site_fract_y
_atom_site_fract_z
H1 0.0000 0.0000 0.0000
H2 0.0611 0.0247 0.5160
H3 0.1086 0.1777 0.1262
H4 0.3102 0.6541 0.5903
S1 0.1618 0.6019 0.4206
Cl1 0.4854 0.2182 0.6630
# M_tot in μB per atom: 0.095
# Calculated density in g cm⁻³: 1.2
# Calculated volume in Å³ per cell: 389


ii) # H7S2Cl2 (PBE-GGA, optimized geometry)
data_H7S2Cl2
_space_group_name_H-M_alt 'C 1 2/m 1'
_space_group_IT_number 12
_cell_length_a 8.0993
_cell_length_b 9.2882
_cell_length_c 4.8289
_cell_angle_alpha 90.00
_cell_angle_beta 113.79
_cell_angle_gamma 90.00
loop_
_space_group_symop_operation_xyz
'x,y,z'
'-x,-y,-z'
'-x,y,-z'
'x,-y,z'
'x+1/2,y+1/2,z'
'-x+1/2,-y+1/2,-z'
'-x+1/2,y+1/2,-z'
'x+1/2,-y+1/2,z'
loop_
_atom_site_label
_atom_site_fract_x
_atom_site_fract_y
_atom_site_fract_z
H1 0.0000 0.0000 0.0000
H2 0.1386 0.1693 0.7961
H3 0.1934 0.5000 0.8333
S1 0.1691 0.0000 0.8886
Cl1 0.0000 0.2772 0.5000
# M_tot in μB per atom: 0.024
# Calculated density in g cm⁻³: 1.4
# Calculated volume in Å³ per cell: 332


Which of them is most stable, and which least? Most stable: i); least stable: ii).